Entry from Alexandria: an optimized crystal structure of VTePdI2 (PBE).

Lattice parameters (Å, degrees): 5.5441 5.5441 5.1561 90.00 90.00 90.00
Closest atoms and distances in Å follow each position.
Fractional positions:
I (0.0000, 0.5000, 0.0000)  2 V 2.77
Pd (0.5000, 0.5000, 0.5000)  8 I 3.79, 4 Te 3.92
V (0.0000, 0.0000, 0.0000)  2 Te 2.58, 4 I 2.77
Te (0.0000, 0.0000, 0.5000)  2 V 2.58
I (0.5000, 0.0000, 0.0000)  2 V 2.77

Properties
The raw formation energy is 440 meV/atom. The relative energy among the computed polymorphs comes out at 0.000 eV/atom. The calculation puts the total energy at -18.4 eV for the cell shown. Its crystal system is tetragonal. The value obtained for the density is 5.65 g/cm³. Its symmetry is P4/mmm.